Entry 1:
{"formula": "RbTlO", "functional": "PBE", "state": "relaxed", "formation_energy_uncorrected_ev_per_atom": -0.920, "vol_a3_per_atom": 28.7, "lattice_angstrom": [[6.346, 0.000, -1.518], [0.000, 7.556, 0.000], [-0.216, 0.000, 7.236]], "species": ["Rb", "Rb", "Rb", "Rb", "Tl", "Tl", "Tl", "Tl", "O", "O", "O", "O"], "fractional_positions": [[0.138, 0.108, 0.742], [0.638, 0.392, 0.742], [0.862, 0.892, 0.258], [0.362, 0.608, 0.258], [0.146, 0.628, 0.688], [0.646, 0.872, 0.688], [0.854, 0.372, 0.312], [0.354, 0.128, 0.312], [0.288, 0.871, 0.500], [0.788, 0.629, 0.500], [0.212, 0.371, 0.500], [0.712, 0.129, 0.500]]}

Entry 2:
{"formula": "LiCdIr2", "functional": "PBE", "state": "relaxed", "vol_a3_per_atom": 15.4, "formation_enthalpy_0k_ev_per_atom": 0.11, "lattice_angstrom": [[9.346, 0.022, 0.013], [8.927, 2.767, 0.013], [8.927, 1.363, 2.409]], "species": ["Cd", "Ir", "Ir", "Li"], "fractional_positions": [[0.750, 0.750, 0.750], [0.504, 0.504, 0.504], [0.996, 0.996, 0.996], [0.250, 0.250, 0.250]]}

Entry 3:
{"formula": "TbYBi2", "functional": "PBE", "state": "relaxed", "vol_a3_per_atom": 32.2, "polymorph_energy_mev_per_atom": 71, "formation_enthalpy_0k_ev_per_atom": -0.82, "lattice_angstrom": [[4.473, 0.000, 0.000], [-2.236, 3.874, 0.000], [0.000, 0.000, 14.868]], "species": ["Tb", "Tb", "Bi", "Bi", "Bi", "Bi", "Y", "Y"], "fractional_positions": [[0.000, 0.000, 0.500], [0.000, 0.000, 0.000], [0.333, 0.667, 0.123], [0.667, 0.333, 0.623], [0.333, 0.667, 0.377], [0.667, 0.333, 0.877], [0.667, 0.333, 0.250], [0.333, 0.667, 0.750]]}

Entry 4:
{"formula": "Li2PrNdGe2", "functional": "PBE", "state": "relaxed", "vol_a3_per_atom": 22.4, "formation_enthalpy_0k_ev_per_atom": -0.66, "lattice_angstrom": [[4.513, 0.000, 0.000], [-2.256, 3.908, 0.000], [0.000, 0.000, 7.614]], "species": ["Ge", "Ge", "Li", "Li", "Pr", "Nd"], "fractional_positions": [[0.333, 0.667, 0.253], [0.667, 0.333, 0.747], [0.667, 0.333, 0.256], [0.333, 0.667, 0.744], [0.000, 0.000, 0.000], [0.000, 0.000, 0.500]]}

| no. | density of states at the Fermi level (states/eV/cell) | final energy (eV per atom) |
| --- | --- | --- |
| 1 | 0.00 | -3.68 |
| 2 | 5.19 | -5.03 |
| 3 | 1.45 | -5.53 |
| 4 | 1.26 | -4.43 |